A geometry-optimized Zn2Ag2Br7 structure. Source: Alexandria, functional PBE.

Values from the calculation:
Total moment ... 0.005 μB per formula unit
Electronic total energy ... -2.343 eV/atom
Relative energy among the computed polymorphs ... 0.0000 eV per atom
Symmetry ... C2/m (12)
Uncorrected formation energy ... -0.53 eV/atom

Cell lengths 7.2598, 7.2598, 10.4915 Å; angles 99.67, 99.67, 120.29 degrees
Fractional positions:
1 Br 0.5474 0.5474 0.8084
2 Br 0.4526 0.4526 0.1916
3 Br 0.7033 0.0362 0.1580
4 Br 0.0000 0.0000 0.5000
5 Br 0.2967 0.9638 0.8420
6 Br 0.0362 0.7033 0.1580
7 Br 0.9638 0.2967 0.8420
8 Ag 0.3423 0.6577 0.0000
9 Ag 0.6577 0.3423 0.0000
10 Zn 0.8099 0.8099 0.2588
11 Zn 0.1901 0.1901 0.7412